## Y2TlNiC (PBE)

Data for a relaxed structure of Y2TlNiC.

a = 5.121 Å, b = 5.121 Å, c = 3.760 Å
α = 90.00°, β = 90.00°, γ = 90.00°
Space group P4/mmm (No. 123)
Inequivalent atoms, fractional coordinates:
Y  0.000  0.500  0.000
Tl  0.000  0.000  0.500
Ni  0.500  0.500  0.500
C  0.500  0.500  0.000

density of states at the Fermi level	1.02	states/eV/atom


## DyY4Er2Mg (PBE)

Data for a relaxed structure of DyY4Er2Mg.

a = 4.972 Å, b = 4.972 Å, c = 9.939 Å
α = 90.00°, β = 90.00°, γ = 90.00°
Space group P4/mmm (No. 123)
Inequivalent atoms, fractional coordinates:
Dy  0.000  0.000  0.000
Y  0.000  0.500  0.253
Er  0.000  0.000  0.500
Er  0.500  0.500  0.000
Mg  0.500  0.500  0.500

density of states at the Fermi level	1.59	states/eV/atom


## Be2ReOs (PBE)

Data for a relaxed structure of Be2ReOs.

a = 2.891 Å, b = 3.817 Å, c = 4.380 Å
α = 90.00°, β = 90.00°, γ = 90.00°
Space group Pmmm (No. 47)
Inequivalent atoms, fractional coordinates:
Be  0.000  0.000  0.000
Be  0.500  0.000  0.500
Re  0.000  0.500  0.500
Os  0.500  0.500  0.000

density of states at the Fermi level	0.67	states/eV/atom
ΔE to the lowest computed polymorph	1.10	eV/f.u.


Theoretical density for the records above, in order: 7.63, 5.93, 13.55 g cm⁻³
Energy for the records above, in order: -6.357, -5.125, -7.657 eV per atom